Entry from the Alexandria database: crystalline Ba2HfPb2 at its relaxed geometry (PBE).

final energy = -4.34 eV/atom
SG = P4/mbm (127)
E_form = -0.101 eV per atom

POSCAR file:
```
Ba2HfPb2
1.0
8.079 0.000 0.000
0.000 8.079 0.000
0.000 0.000 5.574
Pb Hf Ba
4 2 4
Cartesian
2.894 6.933 0.000 Pb
5.185 1.146 0.000 Pb
1.146 2.894 0.000 Pb
6.933 5.185 0.000 Pb
0.000 0.000 0.000 Hf
4.040 4.040 0.000 Hf
2.675 1.364 2.787 Ba
1.364 5.404 2.787 Ba
6.715 2.675 2.787 Ba
5.404 6.715 2.787 Ba
```

=====

Entry from the Alexandria database: crystalline Ba2HfPb at its relaxed geometry (PBE).

final energy = -3.84 eV/atom
SG = I-42d (122)
E_form = 0.536 eV per atom

POSCAR file:
```
Ba2HfPb
1.0
-3.794 -6.621 5.743
8.407 -4.519 0.345
3.153 -3.797 5.648
Hf Pb Ba
2 2 4
Cartesian
2.306 -5.570 3.044 Hf
6.933 -6.943 4.518 Hf
0.000 0.000 0.000 Pb
0.832 -7.994 7.217 Pb
5.596 -4.553 2.303 Ba
6.462 -12.628 9.565 Ba
4.033 -6.992 6.516 Ba
-0.560 -5.701 5.086 Ba
```

=====

Entry from the Alexandria database: crystalline BaHf3Pb at its relaxed geometry (PBE).

final energy = -5.93 eV/atom
SG = Pm-3m (221)
E_form = 1.167 eV per atom

POSCAR file:
```
BaHf3Pb
1.0
-2.834 -0.024 4.753
4.718 -0.683 2.810
0.575 5.491 0.370
Pb Hf Ba
1 3 1
Cartesian
0.000 0.000 0.000 Pb
2.359 -0.342 1.405 Hf
0.287 2.746 0.185 Hf
-1.417 -0.012 2.376 Hf
1.229 2.392 3.966 Ba
```

=====

Entry from the Alexandria database: crystalline Rb2BaHfPb at its relaxed geometry (PBE).

final energy = -2.78 eV/atom
SG = P4/mmm (123)
E_form = 0.728 eV per atom

POSCAR file:
```
Rb2BaHfPb
1.0
6.879 0.000 0.000
0.000 5.718 0.000
0.000 0.000 6.879
Rb Ba Hf Pb
2 1 1 1
Cartesian
3.439 0.000 0.000 Rb
0.000 0.000 3.439 Rb
3.439 2.859 3.439 Ba
0.000 0.000 0.000 Hf
0.000 2.859 0.000 Pb
```

=====

| no. | D(E_F) (states/eV/f.u.) |
| --- | --- |
| 1 | 4.2 |
| 2 | 4.5 |
| 3 | 19.3 |
| 4 | 3.0 |